! AcV4Ag3O12 | Alexandria via LeMat-Bulk | PBE with a Hubbard U | optimized geometry; values from VASP
! Magnetic moment = 0.10 μB per atom
! SG = R32, No. 155
! Raw total energy = -6.3989 eV per atom
! Crystal system = trigonal
! D(E_F) = 7.08 states/eV/cell
&SYSTEM
  ibrav = 0, nat = 20, ntyp = 4
/
ATOMIC_SPECIES
V 50.94 V.upf
O 16.00 O.upf
Ag 107.87 Ag.upf
Ac 227.00 Ac.upf
CELL_PARAMETERS angstrom
-2.9220 5.0825 -4.2204
0.7730 -5.8615 -4.1506
-5.0235 -1.6647 4.9168
ATOMIC_POSITIONS angstrom
V -3.5863 -1.2219 -1.7271
V -4.4952 -4.1400 2.2246
V -1.0793 -3.0369 -5.6486
V -5.1844 3.5113 -1.7573
O -4.1886 3.0582 -3.1516
O -2.6971 1.6330 -5.5932
O -3.0302 -2.8689 -1.7166
O -1.1965 -4.1437 -4.2694
O -3.2700 -0.2064 -3.1022
O -5.7071 2.5634 -0.3541
O -4.9955 -2.4513 2.4218
O -3.7258 -4.9649 0.8577
O -1.7042 -1.3929 -5.8671
O -4.4587 -0.5903 -0.3625
O -2.0229 -5.8524 -1.6976
O -6.0389 0.5538 2.1094
Ag -1.7896 -4.0062 -0.1420
Ag -4.0945 1.3181 0.8773
Ag -1.2885 0.2443 -4.1895
Ac 0.0000 0.0000 0.0000



! Ac2VAg2O6 | Alexandria via LeMat-Bulk | PBE with a Hubbard U | optimized geometry; values from VASP
! Magnetic moment = 0.09 μB per atom
! SG = C2/m, No. 12
! Raw total energy = -6.6569 eV per atom
! Crystal system = monoclinic
! D(E_F) = 0.00 states/eV/cell
&SYSTEM
  ibrav = 0, nat = 11, ntyp = 4
/
ATOMIC_SPECIES
O 16.00 O.upf
Ac 227.00 Ac.upf
Ag 107.87 Ag.upf
V 50.94 V.upf
CELL_PARAMETERS angstrom
6.2685 -0.2291 0.9262
-3.2974 5.3360 0.9262
-0.3481 -0.5984 6.3837
ATOMIC_POSITIONS angstrom
O -2.3333 3.8327 2.8392
O 0.7557 1.2989 2.8196
O 1.8672 3.2095 5.4165
O -1.8621 4.6425 5.3970
O 4.4850 -0.1340 2.8392
O 4.9562 0.6758 5.3970
Ac 2.8788 1.3424 4.1181
Ac -0.2558 3.1661 4.1181
Ag 4.9498 0.5381 0.9262
Ag -1.9787 4.5688 0.9262
V -0.1741 -0.2992 3.1919



! AcAg2WO6 | Alexandria via LeMat-Bulk | PBE with a Hubbard U | optimized geometry; values from VASP
! Magnetic moment = 0.11 μB per atom
! SG = P1, No. 1
! Raw total energy = -6.3163 eV per atom
! Crystal system = triclinic
! D(E_F) = 6.08 states/eV/cell
&SYSTEM
  ibrav = 0, nat = 10, ntyp = 4
/
ATOMIC_SPECIES
Ac 227.00 Ac.upf
O 16.00 O.upf
Ag 107.87 Ag.upf
W 183.84 W.upf
CELL_PARAMETERS angstrom
5.8957 -0.0038 -0.0033
2.9445 5.1007 0.0044
2.9440 1.7053 5.0190
ATOMIC_POSITIONS angstrom
Ac 8.8389 5.0999 2.8016
O 8.1276 3.1566 1.2969
O 4.9938 5.4357 1.2968
O 4.5820 1.5889 1.2810
O 4.3325 3.4505 4.0304
O 6.7026 4.7289 4.0159
O 6.6253 2.0457 4.0018
Ag 2.9369 1.7034 4.0891
Ag 5.8905 3.4009 2.0570
W 2.9445 1.7014 0.3059



raw total energy of number 3 (AcAg2WO6)?
-6.3163 eV per atom